## TbPm3Nd6Y2 (GGA-PBE)

Data for an optimized crystal structure of TbPm3Nd6Y2.

## Properties
magnetization: 0.00 μB per formula unit
ΔE_f: 0.0114 eV per atom
density: 6.612 g cm⁻³
density of states at the Fermi level: 16.185 states/eV/f.u.

a b c (Å): 6.329 10.966 12.036
angles (deg): 90.00 100.10 90.00
Space group C2/m (No. 12)
Inequivalent atoms, fractional coordinates:
1 Tb 0.000 0.000 0.000
2 Pm 0.000 0.167 0.500
3 Pm 0.000 0.500 0.500
4 Nd 0.249 0.166 0.248
5 Nd 0.250 0.000 0.752
6 Y 0.000 0.333 0.000

## PrNdGaCu (GGA-PBE)

Data for an optimized crystal structure of PrNdGaCu.

## Properties
magnetization: 0.00 μB per formula unit
ΔE_f: -0.3293 eV per atom
density: 7.019 g cm⁻³
density of states at the Fermi level: 4.348 states/eV/f.u.

a b c (Å): 7.343 7.343 7.343
angles (deg): 90.00 90.00 90.00
Space group F-43m (No. 216)
Inequivalent atoms, fractional coordinates:
1 Pr 0.000 0.000 0.000
2 Nd 0.000 0.000 0.500
3 Ga 0.250 0.250 0.250
4 Cu 0.250 0.250 0.750